Entry from the Alexandria database: Pm4In3Hg after structural relaxation (PBE).

a = 3.629 Å, b = 3.629 Å, c = 17.101 Å
α = 90.00°, β = 90.00°, γ = 90.00°
Sites, in units of the cell vectors:
In  0.500  0.500  0.248
In  0.500  0.500  0.500
In  0.500  0.500  0.752
Hg  0.500  0.500  0.000
Pm  0.000  0.000  0.877
Pm  0.000  0.000  0.123
Pm  0.000  0.000  0.375
Pm  0.000  0.000  0.625

The crystal system is tetragonal. The value obtained for the density of states at the Fermi level is 5.27 states/eV/cell. The value obtained for the uncorrected energy is -31.44 eV per formula unit. The formation energy from the elements comes out at -490 meV per atom. As for the space group: P4/mmm. The total moment comes out at 0.0 μB per cell.